## MoP2W (PBE)

Data for a relaxed structure of MoP2W.

The distance to the lowest polymorph of the same formula comes out at 0.6044 eV per atom. As for the formation energy: 222 meV per atom. For the electronic total energy, the calculation gives -8.429 eV/atom.

Lattice parameters (Å, degrees): 3.1127 4.9778 7.6138 90.00 90.00 90.00
Space group Cmmm (No. 65)
Unique sites:
Mo 0.0000 0.0000 0.0000 (multiplicity 2)
P 0.0000 0.5000 0.2491 (multiplicity 4)
W 0.0000 0.0000 0.5000 (multiplicity 2)



## Y3MoP (PBE)

Data for a relaxed structure of Y3MoP.

The distance to the lowest polymorph of the same formula comes out at 0.0000 eV per atom. As for the formation energy: 119 meV per atom. For the electronic total energy, the calculation gives -7.007 eV/atom.

Lattice parameters (Å, degrees): 5.2436 5.2436 5.2436 90.00 90.00 90.00
Space group Pm-3m (No. 221)
Unique sites:
Y 0.0000 0.0000 0.5000 (multiplicity 3)
Mo 0.5000 0.5000 0.5000 (multiplicity 1)
P 0.0000 0.0000 0.0000 (multiplicity 1)